[1]
# MnV2Co, optimized geometry, DFT GGA-PBE
data_MnV2Co
_cell_length_a 6.446
_cell_length_b 6.446
_cell_length_c 4.966
_cell_angle_alpha 90.00
_cell_angle_beta 90.00
_cell_angle_gamma 90.00
_space_group_name_H-M_alt 'I -4 2 d'
_space_group_IT_number 122
_space_group_name_Hall 'I -4 2bw'
loop_
_atom_site_label
_atom_site_type_symbol
_atom_site_fract_x
_atom_site_fract_y
_atom_site_fract_z
Mn1 Mn 0.000 0.000 0.000
V1 V 0.241 0.250 0.625
Co1 Co 0.000 0.000 0.500
# D(E_F): 1.4487 states/eV per atom
# DFT formation energy: 0.37 eV/atom
# ρ: 6.95 g cm⁻³
# size of the total moment: 6.6 Bohr magnetons per cell

[2]
# Pm3CuSn2, optimized geometry, DFT GGA-PBE
data_Pm3CuSn2
_cell_length_a 16.090
_cell_length_b 6.421
_cell_length_c 6.422
_cell_angle_alpha 90.00
_cell_angle_beta 103.54
_cell_angle_gamma 90.00
_space_group_name_H-M_alt 'C 1 2/c 1'
_space_group_IT_number 15
loop_
_space_group_symop_operation_xyz
'x,y,z'
'-x,-y,-z'
'-x,y,-z+1/2'
'x,-y,z+1/2'
'x+1/2,y+1/2,z'
'-x+1/2,-y+1/2,-z'
'-x+1/2,y+1/2,-z+1/2'
'x+1/2,-y+1/2,z+1/2'
loop_
_atom_site_label
_atom_site_type_symbol
_atom_site_fract_x
_atom_site_fract_y
_atom_site_fract_z
Pm1 Pm 0.000 0.168 0.250
Pm2 Pm 0.167 0.395 0.605
Cu1 Cu 0.000 0.358 0.750
Sn1 Sn 0.157 0.102 0.038
# D(E_F): 0.6664 states/eV per atom
# energy relative to the lowest polymorph listed for this composition: 181 meV/atom
# DFT formation energy: -0.43 eV/atom
# ρ: 7.58 g cm⁻³
# size of the total moment: 0.0 Bohr magnetons per cell

[3]
# CoSb2W, optimized geometry, DFT GGA-PBE
data_CoSb2W
_cell_length_a 4.499
_cell_length_b 3.208
_cell_length_c 5.488
_cell_angle_alpha 90.00
_cell_angle_beta 113.87
_cell_angle_gamma 90.00
_space_group_name_H-M_alt 'P 1 2/m 1'
_space_group_IT_number 10
loop_
_space_group_symop_operation_xyz
'x,y,z'
'-x,-y,-z'
'-x,y,-z'
'x,-y,z'
loop_
_atom_site_label
_atom_site_type_symbol
_atom_site_fract_x
_atom_site_fract_y
_atom_site_fract_z
Co1 Co 0.000 0.000 0.000
Sb1 Sb 0.500 0.000 0.500
Sb2 Sb 0.500 0.500 0.000
W1 W 0.000 0.500 0.500
# D(E_F): 0.8980 states/eV per atom
# energy relative to the lowest polymorph listed for this composition: 301 meV/atom
# ρ: 11.15 g cm⁻³
# ΔE_f (raw): 546.0 meV/atom
# size of the total moment: 0.1 Bohr magnetons per cell

[4]
# Ag2RuCl, optimized geometry, DFT GGA-PBE
data_Ag2RuCl
_cell_length_a 3.087
_cell_length_b 5.006
_cell_length_c 9.070
_cell_angle_alpha 90.00
_cell_angle_beta 90.00
_cell_angle_gamma 90.00
_space_group_name_H-M_alt 'C m m m'
_space_group_IT_number 65
_space_group_name_Hall '-C 2 2'
loop_
_atom_site_label
_atom_site_type_symbol
_atom_site_fract_x
_atom_site_fract_y
_atom_site_fract_z
Ag1 Ag 0.000 0.000 0.246
Ru1 Ru 0.000 0.500 0.500
Cl1 Cl 0.000 0.500 0.000
# D(E_F): 0.7058 states/eV per atom
# energy relative to the lowest polymorph listed for this composition: 107 meV/atom
# ρ: 8.35 g cm⁻³
# ΔE_f (raw): 421.7 meV/atom
# size of the total moment: 3.2 Bohr magnetons per cell

> Look up the size of the total moment of the second one.

0.0 Bohr magnetons per cell

> Among the records above, which one has the highest ρ?

CoSb2W

> Among the records above, which one has the lowest D(E_F)?

Pm3CuSn2

> Which value of size of the total moment does entry 3 give?

0.1 Bohr magnetons per cell